Here is a geometry-optimized ZrTl2Si structure from the Alexandria database. Energies are from PBE-GGA.

a = 3.1783 Å, b = 3.1783 Å, c = 9.5590 Å
α = 90.00°, β = 90.00°, γ = 90.00°
Closest atoms and distances in Å follow each position.
Fractional coordinates of all 4 atoms:
Tl 0.5000 0.5000 0.2781  4 Tl 3.18, 4 Zr 3.33
Zr 0.0000 0.0000 0.5353  4 Si 2.83
Tl 0.0000 0.0000 0.9706  4 Tl 3.18, 4 Si 3.31
Si 0.5000 0.5000 0.7160  4 Zr 2.83

Calculated values
- E: -4.60 eV/atom
- Fermi-level density of states: 2.55 states/eV/f.u.
- Symmetry: P4mm
- Formation energy (no corrections): 0.08 eV per atom
- Polymorph energy (0 for the lowest one): 0.124 eV per atom